Record 1
Compound: Tb3Hg8
Source: Alexandria via LeMat-Bulk
Functional: PBE
Structure: optimized geometry

- formation enthalpy at 0 K (meV per atom) = -335

Unit cell a=5.032 b=5.032 c=12.486 alpha=78.37 beta=78.37 gamma=60.00
Fractional coordinates of all 11 atoms:
Hg1 0.170 0.170 0.489
Hg2 0.914 0.914 0.259
Hg3 0.272 0.272 0.184
Hg4 0.363 0.363 0.912
Hg5 0.728 0.728 0.816
Hg6 0.086 0.086 0.741
Hg7 0.637 0.637 0.088
Hg8 0.830 0.830 0.511
Tb1 0.000 0.000 0.000
Tb2 0.550 0.550 0.351
Tb3 0.450 0.450 0.649

---

Record 2
Compound: Ti4SiP
Source: Alexandria via LeMat-Bulk
Functional: PBE
Structure: optimized geometry

- ΔE_f (raw) (eV per atom) = -0.441
- ΔE to the lowest computed polymorph (meV per atom) = 395

Unit cell a=5.978 b=5.967 c=5.780 alpha=90.00 beta=93.33 gamma=90.00
Each line ends with the local moment (μB).
Fractional coordinates of all 12 atoms:
Ti1 0.161 0.849 0.638  -0.08
Ti2 0.371 0.859 0.138  0.28
Ti3 0.839 0.151 0.362  -0.08
Ti4 0.629 0.141 0.862  0.28
Ti5 0.661 0.651 0.638  -0.08
Ti6 0.871 0.641 0.138  0.28
Ti7 0.129 0.359 0.862  0.28
Ti8 0.339 0.349 0.362  -0.08
P1 0.000 0.500 0.500  0.01
P2 0.500 0.000 0.500  0.01
Si1 0.500 0.500 0.000  0.00
Si2 0.000 0.000 0.000  0.00

---

Record 3
Compound: TmAs2Pd7Pb2
Source: Alexandria via LeMat-Bulk
Functional: PBE
Structure: optimized geometry

- formation enthalpy at 0 K (meV per atom) = -481

Unit cell a=4.062 b=4.062 c=14.482 alpha=85.49 beta=85.49 gamma=90.02
Fractional coordinates of all 12 atoms:
As1 0.571 0.571 0.754
As2 0.429 0.429 0.246
Pd1 0.043 0.542 0.854
Pd2 0.542 0.043 0.854
Pd3 0.458 0.957 0.146
Pd4 0.609 0.609 0.581
Pd5 0.957 0.458 0.146
Pd6 0.500 0.500 0.000
Pd7 0.391 0.391 0.419
Pb1 0.888 0.888 0.392
Pb2 0.112 0.112 0.608
Tm1 0.000 0.000 0.000

---

Record 4
Compound: Sm2PF3
Source: Alexandria via LeMat-Bulk
Functional: PBE
Structure: optimized geometry

- ΔE_f (raw) (eV per atom) = -3.114

Unit cell a=3.877 b=7.676 c=7.890 alpha=116.97 beta=90.00 gamma=104.63
Fractional coordinates of all 12 atoms:
Sm1 0.786 0.571 0.286
Sm2 0.214 0.429 0.714
Sm3 0.518 0.035 0.227
Sm4 0.482 0.965 0.773
F1 0.310 0.621 0.543
F2 0.942 0.883 0.587
F3 0.611 0.221 0.684
F4 0.690 0.379 0.457
F5 0.389 0.779 0.316
F6 0.058 0.117 0.413
P1 0.870 0.741 0.948
P2 0.130 0.259 0.052

---

Record 5
Compound: BaCaRh2
Source: Alexandria via LeMat-Bulk
Functional: PBE
Structure: optimized geometry

- ΔE to the lowest computed polymorph (meV per atom) = 166
- formation enthalpy at 0 K (meV per atom) = -30

Unit cell a=6.886 b=6.886 c=6.886 alpha=149.95 beta=140.42 gamma=50.48
Fractional coordinates of all 4 atoms:
Ca1 0.262 0.762 0.500
Ba1 0.528 0.528 0.000
Rh1 0.932 0.932 0.000
Rh2 0.778 0.278 0.500

---

Record 6
Compound: Li7Ag2Pt
Source: Alexandria via LeMat-Bulk
Functional: PBE
Structure: optimized geometry

- formation enthalpy at 0 K (meV per atom) = -194

Unit cell a=4.386 b=4.386 c=9.949 alpha=90.00 beta=90.00 gamma=120.00
Fractional coordinates of all 10 atoms:
Li1 0.667 0.333 0.859
Li2 0.667 0.333 0.601
Li3 0.000 0.000 0.683
Li4 0.667 0.333 0.089
Li5 0.333 0.667 0.039
Li6 0.333 0.667 0.449
Li7 0.000 0.000 0.230
Pt1 0.000 0.000 0.954
Ag1 0.333 0.667 0.765
Ag2 0.667 0.333 0.346

---

Record 7
Compound: Ba2MnPb
Source: Alexandria via LeMat-Bulk
Functional: PBE
Structure: optimized geometry

- formation enthalpy at 0 K (meV per atom) = 170

Unit cell a=3.990 b=3.990 c=9.809 alpha=90.00 beta=90.00 gamma=90.00
Each line ends with the local moment (μB).
Fractional coordinates of all 4 atoms:
Ba1 0.000 0.000 0.932  -0.02
Ba2 0.500 0.500 0.321  -0.08
Mn1 0.000 0.000 0.571  3.88
Pb1 0.500 0.500 0.677  -0.10

---

Record 8
Compound: PmGa3Co
Source: Alexandria via LeMat-Bulk
Functional: PBE
Structure: optimized geometry

- ΔE to the lowest computed polymorph (meV per atom) = 83
- formation enthalpy at 0 K (meV per atom) = -326

Unit cell a=5.270 b=6.596 c=6.596 alpha=66.90 beta=66.45 gamma=66.45
Fractional coordinates of all 10 atoms:
Ga1 0.827 0.602 0.744
Ga2 0.000 0.000 0.500
Ga3 0.173 0.756 0.898
Ga4 0.827 0.244 0.102
Ga5 0.500 0.000 0.500
Ga6 0.173 0.398 0.256
Pm1 0.500 0.000 0.000
Pm2 0.500 0.500 0.500
Co1 0.962 0.788 0.288
Co2 0.038 0.212 0.712

---

Record 9
Compound: Cu2PPt
Source: Alexandria via LeMat-Bulk
Functional: PBE
Structure: optimized geometry

- ΔE to the lowest computed polymorph (meV per atom) = 73
- formation enthalpy at 0 K (meV per atom) = -19

Unit cell a=3.672 b=3.672 c=3.935 alpha=90.00 beta=90.00 gamma=90.00
Fractional coordinates of all 4 atoms:
Cu1 0.500 0.500 0.000
Cu2 0.000 0.000 0.000
Pt1 0.000 0.500 0.500
P1 0.500 0.000 0.500

---

Record 10
Compound: Pr5SmZn3
Source: Alexandria via LeMat-Bulk
Functional: PBE
Structure: optimized geometry

- formation enthalpy at 0 K (meV per atom) = -131

Unit cell a=7.033 b=9.177 c=9.177 alpha=120.00 beta=90.00 gamma=90.00
Fractional coordinates of all 18 atoms:
Pr1 0.250 0.335 0.335
Pr2 0.000 0.667 0.333
Pr3 0.750 0.665 0.665
Pr4 0.750 0.000 0.335
Pr5 0.500 0.333 0.667
Pr6 0.750 0.334 0.000
Pr7 0.000 0.333 0.667
Pr8 0.250 0.666 0.000
Pr9 0.500 0.667 0.333
Pr10 0.250 0.000 0.665
Zn1 0.750 0.329 0.329
Zn2 0.250 0.671 0.671
Zn3 0.250 0.329 0.000
Zn4 0.250 0.000 0.329
Zn5 0.750 0.671 0.000
Zn6 0.750 0.000 0.671
Sm1 0.500 0.000 0.000
Sm2 0.000 0.000 0.000

---

Record 11
Compound: ScNb2CrTc
Source: Alexandria via LeMat-Bulk
Functional: PBE
Structure: optimized geometry

- formation enthalpy at 0 K (meV per atom) = 994

Unit cell a=4.542 b=4.659 c=4.542 alpha=90.00 beta=90.00 gamma=90.00
Each line ends with the local moment (μB).
Fractional coordinates of all 5 atoms:
Nb1 0.500 0.000 0.000  -0.02
Nb2 0.000 0.000 0.500  -0.01
Cr1 0.000 0.000 0.000  0.01
Tc1 0.500 0.500 0.500  0.07
Sc1 0.000 0.500 0.000  -0.01

---

Record 12
Compound: Na2LaAu
Source: Alexandria via LeMat-Bulk
Functional: PBE
Structure: optimized geometry

- ΔE to the lowest computed polymorph (meV per atom) = 238
- formation enthalpy at 0 K (meV per atom) = 84

Unit cell a=3.296 b=3.296 c=11.902 alpha=82.04 beta=82.04 gamma=60.00
Fractional coordinates of all 4 atoms:
Na1 0.099 0.099 0.703
Na2 0.901 0.901 0.297
Au1 0.500 0.500 0.500
La1 0.000 0.000 0.000

---

How do the records compare in E_tot? In the order shown, they have -1.82; -7.51; -5.28; -6.52; -4.69; -2.71; -4.01; -4.51; -4.93; -3.73; -8.30; -2.63 eV per atom.
How do the records compare in size of the total moment? In the order shown, they have 0.0000; 0.0820; 0.0000; 0.0000; 0.0000; 0.0000; 0.9115; 0.0001; 0.0000; 0.0000; 0.0084; 0.0000 μB per atom.